[1]
## CaAl2Sb (PBE)

Data for an optimized crystal structure of CaAl2Sb.

Cell and atoms, written as extended XYZ:
```
4
Lattice="3.755 0.000 0.000 0.000 3.755 0.000 0.000 0.000 6.856" Properties=species:S:1:pos:R:3 pbc="T T T"
Ca 0.000 0.000 0.000
Al 1.877 1.877 2.040
Al 1.877 1.877 4.816
Sb 0.000 0.000 3.428
```

Output
Total energy = -14.07 eV per formula unit
Space-group type = P4/mmm (123)


[2]
## CaAlSb (PBE)

Data for an optimized crystal structure of CaAlSb.

Cell and atoms, written as extended XYZ:
```
3
Lattice="-1.907 1.907 5.378 1.907 -1.907 5.378 1.907 1.907 -5.378" Properties=species:S:1:pos:R:3 pbc="T T T"
Ca 0.000 0.000 0.000
Al 0.000 0.000 3.237
Sb 0.000 0.000 7.500
```

Output
Total energy = -10.86 eV per formula unit
Space-group type = I4mm (107)


Q: Look up the total energy of the second one.
A: -10.86 eV per formula unit